1.
The following is a PBE calculation of a geometry-optimized BaGdMgAs2 structure, from OQMD.

```
10
Lattice="2.216 -9.024 0.000 2.216 9.024 0.000 0.000 0.000 6.999" Properties=species:S:1:pos:R:3 pbc="T T T"
As 2.216 -8.107 6.589
Ba 2.216 -3.569 3.084
As 2.216 -2.932 6.653
As 2.216 2.932 3.153
Gd 2.216 -0.479 5.144
As 2.216 8.107 3.089
Gd 2.216 0.479 1.645
Mg 2.216 7.237 0.468
Ba 2.216 3.569 6.584
Mg 2.216 -7.237 3.967
```

Summary:
The calculation puts the total magnetization at 0.026 μB/cell. The calculation puts the calculated volume at 279.9 Å³/cell. The uncorrected energy comes out at -4.52 eV per atom.

2.
The following is a PBE calculation of a geometry-optimized MoAsAu2 structure, from OQMD.

```
4
Lattice="2.994 -1.995 2.825 -0.364 -4.462 0.938 3.089 -2.943 -1.649" Properties=species:S:1:pos:R:3 pbc="T T T"
Mo 1.430 -2.350 0.529
Au 4.289 -7.050 1.586
As 2.859 -4.700 1.057
Au 0.000 0.000 0.000
```

Summary:
The calculation puts the total magnetization at 0.053 μB/cell. The calculation puts the calculated volume at 67.7 Å³/cell. The uncorrected energy comes out at -5.14 eV per atom.